(1)
Ba3Ca | SCAN | single point on PBEsol structure

Unit cell a=4.2149 b=4.2149 c=13.8479 alpha=90.00 beta=90.00 gamma=120.00
Last column: nearest neighbours and their distance in Å.
Fractional positions:
Ca 0.3333 0.6667 0.5000  6 Ba 4.13, 6 Ca 4.21
Ba 0.0000 0.0000 0.2588  3 Ca 4.13, 9 Ba 4.21-4.33
Ba 0.0000 0.0000 0.7412  3 Ca 4.13, 9 Ba 4.21-4.33
Ba 0.3333 0.6667 0.0000  12 Ba 4.21-4.33

Calculated values
magnetic moment	0.036	μB per atom
density	3.52	Mg/m³
total DFT energy (no corrections)	-128.0	eV per cell

(2)
BaCa | SCAN | single point on PBEsol structure

Unit cell a=4.0690 b=4.0690 c=7.1509 alpha=73.47 beta=73.47 gamma=60.00
Last column: nearest neighbours and their distance in Å.
Fractional positions:
Ca 0.5000 0.5000 0.5000  6 Ca 4.07, 6 Ba 4.11
Ba 0.0000 0.0000 0.0000  6 Ba 4.07, 6 Ca 4.11

Calculated values
magnetic moment	0.030	μB per atom
density	3.04	Mg/m³
total DFT energy (no corrections)	-49.1	eV per cell

(3)
Ba3Ca | SCAN | single point on PBEsol structure

Unit cell a=4.7468 b=6.7151 c=7.8416 alpha=115.35 beta=107.62 gamma=90.00
Last column: nearest neighbours and their distance in Å.
Fractional positions:
Ca 0.0000 0.5000 0.0000  8 Ba 4.03-4.11
Ba 0.7440 0.7440 0.4879  2 Ca 4.03, 6 Ba 4.11-4.16
Ba 0.5000 0.0000 0.0000  4 Ca 4.11, 4 Ba 4.16
Ba 0.2560 0.2560 0.5121  2 Ca 4.03, 6 Ba 4.11-4.16

Calculated values
magnetic moment	0.042	μB per atom
density	3.53	Mg/m³
total DFT energy (no corrections)	-128.2	eV per cell

(4)
BaCa5 | SCAN | single point on PBEsol structure

Unit cell a=5.5863 b=5.6040 c=8.7686 alpha=90.00 beta=108.57 gamma=90.00
Last column: nearest neighbours and their distance in Å.
Fractional positions:
Ca 0.3290 0.5000 0.6581  10 Ca 3.83-3.98, 2 Ba 3.99
Ca 0.1715 0.0000 0.3430  10 Ca 3.82-4.00, 2 Ba 3.99
Ca 0.0000 0.5000 0.0000  4 Ba 3.96, 8 Ca 3.98-4.00
Ca 0.8285 0.0000 0.6570  10 Ca 3.82-4.00, 2 Ba 3.99
Ca 0.6710 0.5000 0.3419  10 Ca 3.83-3.98, 2 Ba 3.99
Ba 0.5000 0.0000 0.0000  12 Ca 3.96-3.99

Calculated values
magnetic moment	0.124	μB per atom
density	2.16	Mg/m³
total DFT energy (no corrections)	-87.7	eV per cell

(5)
BaCa | SCAN | single point on PBEsol structure

Unit cell a=4.0664 b=4.0664 c=13.5187 alpha=90.00 beta=90.00 gamma=120.00
Last column: nearest neighbours and their distance in Å.
Fractional positions:
Ca 0.6667 0.3333 0.7500  6 Ca 4.07, 6 Ba 4.12
Ca 0.3333 0.6667 0.2500  6 Ca 4.07, 6 Ba 4.12
Ba 0.0000 0.0000 0.0000  6 Ba 4.07, 6 Ca 4.12
Ba 0.0000 0.0000 0.5000  6 Ba 4.07, 6 Ca 4.12

Calculated values
magnetic moment	0.074	μB per atom
density	3.04	Mg/m³
total DFT energy (no corrections)	-98.1	eV per cell

(6)
BaCa | SCAN | single point on PBEsol structure

Unit cell a=4.5193 b=6.6095 c=7.7007 alpha=115.41 beta=107.06 gamma=90.00
Last column: nearest neighbours and their distance in Å.
Fractional positions:
Ca 0.3648 0.1148 0.7296  2 Ca 3.77, 6 Ba 4.01-4.02
Ca 0.6352 0.8852 0.2704  2 Ca 3.77, 6 Ba 4.01-4.02
Ba 0.8828 0.6328 0.7655  6 Ca 4.01-4.02, 2 Ba 4.16
Ba 0.1172 0.3672 0.2345  6 Ca 4.01-4.02, 2 Ba 4.16

Calculated values
magnetic moment	0.040	μB per atom
density	3.00	Mg/m³
total DFT energy (no corrections)	-98.2	eV per cell

(7)
BaCa3 | SCAN | single point on PBEsol structure

Unit cell a=5.6470 b=5.6470 c=5.6470 alpha=90.00 beta=90.00 gamma=90.00
Last column: nearest neighbours and their distance in Å.
Fractional positions:
Ca 0.0000 0.5000 0.5000  4 Ba 3.99, 8 Ca 3.99
Ca 0.5000 0.0000 0.5000  4 Ba 3.99, 8 Ca 3.99
Ca 0.5000 0.5000 0.0000  4 Ba 3.99, 8 Ca 3.99
Ba 0.0000 0.0000 0.0000  12 Ca 3.99

Calculated values
magnetic moment	0.105	μB per atom
density	2.38	Mg/m³
total DFT energy (no corrections)	-68.4	eV per cell

(8)
BaCa | SCAN | single point on PBEsol structure

Unit cell a=6.4727 b=6.4727 c=6.4727 alpha=60.00 beta=60.00 gamma=60.00
Last column: nearest neighbours and their distance in Å.
Fractional positions:
Ca 0.0000 0.0000 0.0000  4 Ca 3.96, 4 Ba 3.96
Ca 0.2500 0.2500 0.2500  4 Ba 3.96, 4 Ca 3.96
Ba 0.7500 0.7500 0.7500  4 Ca 3.96, 4 Ba 3.96
Ba 0.5000 0.5000 0.5000  4 Ca 3.96, 4 Ba 3.96

Calculated values
magnetic moment	0.029	μB per atom
density	3.07	Mg/m³
total DFT energy (no corrections)	-98.3	eV per cell

(9)
BaCa3 | SCAN | single point on PBEsol structure

Unit cell a=3.9352 b=6.8631 c=6.9546 alpha=98.48 beta=90.00 gamma=106.66
Last column: nearest neighbours and their distance in Å.
Fractional positions:
Ca 0.5000 0.0000 0.5000  8 Ca 3.94-3.96, 4 Ba 4.00
Ca 0.2462 0.4925 0.7407  9 Ca 3.90-4.10, 3 Ba 3.94-4.05
Ca 0.7538 0.5075 0.2593  9 Ca 3.90-4.10, 3 Ba 3.94-4.05
Ba 0.0000 0.0000 0.0000  2 Ba 3.94, 10 Ca 3.94-4.05

Calculated values
magnetic moment	0.088	μB per atom
density	2.41	Mg/m³
total DFT energy (no corrections)	-68.3	eV per cell

(10)
Ba8Ca | SCAN | single point on PBEsol structure

Unit cell a=6.1996 b=9.5900 c=9.5900 alpha=84.00 beta=71.14 gamma=71.14
Last column: nearest neighbours and their distance in Å.
Fractional positions:
Ca 0.0000 0.0000 0.0000  12 Ba 4.22-4.30
Ba 0.3362 0.0000 0.3276  10 Ba 4.20-4.40, 2 Ca 4.30
Ba 0.6638 0.0000 0.6724  10 Ba 4.20-4.40, 2 Ca 4.30
Ba 0.6713 0.3287 0.3287  1 Ca 4.22, 11 Ba 4.30-4.40
Ba 0.3362 0.3276 0.0000  10 Ba 4.20-4.40, 2 Ca 4.30
Ba 0.0000 0.3287 0.6713  1 Ca 4.22, 11 Ba 4.30-4.40
Ba 0.6638 0.6724 0.0000  10 Ba 4.20-4.40, 2 Ca 4.30
Ba 0.3287 0.6713 0.6713  1 Ca 4.22, 11 Ba 4.30-4.40
Ba 0.0000 0.6713 0.3287  1 Ca 4.22, 11 Ba 4.30-4.40

Calculated values
magnetic moment	0.083	μB per atom
density	3.70	Mg/m³
total DFT energy (no corrections)	-325.7	eV per cell

(11)
Ba2Ca | SCAN | single point on PBEsol structure

Unit cell a=12.3303 b=12.3303 c=12.3303 alpha=60.00 beta=60.00 gamma=60.00
Last column: nearest neighbours and their distance in Å.
Fractional positions:
Ba 0.1250 0.1250 0.6250  6 Ca 3.76
Ba 0.1250 0.6250 0.1250  6 Ca 3.76
Ba 0.6250 0.1250 0.1250  6 Ca 3.76
Ba 0.1250 0.1250 0.1250  6 Ca 3.76
Ba 0.9433 0.5567 0.5567  4 Ca 4.18-4.41, 6 Ba 4.42-4.58
Ba 0.5567 0.9433 0.5567  4 Ca 4.18-4.41, 6 Ba 4.42-4.58
Ba 0.5567 0.5567 0.9433  4 Ca 4.18-4.41, 6 Ba 4.42-4.58
Ba 0.9433 0.9433 0.5567  4 Ca 4.18-4.41, 6 Ba 4.42-4.58
Ba 0.9433 0.5567 0.9433  4 Ca 4.18-4.41, 6 Ba 4.42-4.58
Ba 0.5567 0.9433 0.9433  4 Ca 4.18-4.41, 6 Ba 4.42-4.58
Ba 0.3067 0.6933 0.6933  4 Ca 4.18-4.41, 6 Ba 4.42-4.58
Ba 0.6933 0.3067 0.6933  4 Ca 4.18-4.41, 6 Ba 4.42-4.58
Ba 0.6933 0.6933 0.3067  4 Ca 4.18-4.41, 6 Ba 4.42-4.58
Ba 0.3067 0.3067 0.6933  4 Ca 4.18-4.41, 6 Ba 4.42-4.58
Ba 0.3067 0.6933 0.3067  4 Ca 4.18-4.41, 6 Ba 4.42-4.58
Ba 0.6933 0.3067 0.3067  4 Ca 4.18-4.41, 6 Ba 4.42-4.58
Ca 0.3315 0.3315 0.3315  6 Ba 3.76-4.18, 3 Ca 4.02
Ca 0.0054 0.3315 0.3315  6 Ba 3.76-4.18, 3 Ca 4.02
Ca 0.3315 0.0054 0.3315  6 Ba 3.76-4.18, 3 Ca 4.02
Ca 0.3315 0.3315 0.0054  6 Ba 3.76-4.18, 3 Ca 4.02
Ca 0.9185 0.9185 0.9185  6 Ba 3.76-4.18, 3 Ca 4.02
Ca 0.2446 0.9185 0.9185  6 Ba 3.76-4.18, 3 Ca 4.02
Ca 0.9185 0.2446 0.9185  6 Ba 3.76-4.18, 3 Ca 4.02
Ca 0.9185 0.9185 0.2446  6 Ba 3.76-4.18, 3 Ca 4.02

Calculated values
magnetic moment	0.134	μB per atom
density	3.15	Mg/m³
total DFT energy (no corrections)	-708.4	eV per cell

(12)
BaCa5 | SCAN | single point on PBEsol structure

Unit cell a=3.9365 b=3.9365 c=16.7664 alpha=90.00 beta=90.00 gamma=90.00
Last column: nearest neighbours and their distance in Å.
Fractional positions:
Ca 0.0000 0.0000 0.8164  8 Ca 3.85-3.94, 4 Ba 4.15
Ca 0.0000 0.0000 0.1836  8 Ca 3.85-3.94, 4 Ba 4.15
Ca 0.5000 0.5000 0.6574  12 Ca 3.84-3.94
Ca 0.5000 0.5000 0.3426  12 Ca 3.84-3.94
Ca 0.0000 0.0000 0.5000  12 Ca 3.84-3.94
Ba 0.5000 0.5000 0.0000  4 Ba 3.94, 8 Ca 4.15

Calculated values
magnetic moment	0.160	μB per atom
density	2.16	Mg/m³
total DFT energy (no corrections)	-87.7	eV per cell

(13)
BaCa3 | SCAN | single point on PBEsol structure

Unit cell a=3.9453 b=6.9094 c=6.9094 alpha=109.54 beta=90.00 gamma=90.00
Last column: nearest neighbours and their distance in Å.
Fractional positions:
Ca 0.5000 0.0000 0.5000  8 Ca 3.95-3.99, 4 Ba 3.98
Ca 0.5000 0.5000 0.0000  8 Ca 3.95-3.99, 4 Ba 3.98
Ca 0.0000 0.5000 0.5000  10 Ca 3.95-3.98, 2 Ba 3.99
Ba 0.0000 0.0000 0.0000  2 Ba 3.95, 10 Ca 3.98-3.99

Calculated values
magnetic moment	0.132	μB per atom
density	2.41	Mg/m³
total DFT energy (no corrections)	-68.3	eV per cell

(14)
BaCa3 | SCAN | single point on PBEsol structure

Unit cell a=3.8263 b=6.3371 c=7.3035 alpha=90.00 beta=99.05 gamma=90.00
Last column: nearest neighbours and their distance in Å.
Fractional positions:
Ca 0.2618 0.5000 0.7429  7 Ca 3.79-4.24, 2 Ba 3.89
Ca 0.5000 0.0000 0.5000  6 Ca 3.81-3.83, 2 Ba 3.85
Ca 0.7382 0.5000 0.2571  7 Ca 3.79-4.24, 2 Ba 3.89
Ba 0.0000 0.0000 0.0000  2 Ba 3.83, 6 Ca 3.85-3.89

Calculated values
magnetic moment	0.001	μB per atom
density	2.45	Mg/m³
total DFT energy (no corrections)	-68.4	eV per cell